1.
# Li2AuSeS

Li2AuSeS after structural relaxation (GGA-PBE, the Alexandria database).

## Properties
The calculation puts the density of states at the Fermi level at 0.259 states/eV per atom. The value obtained for the formation energy (no corrections) is -0.1413 eV per atom. Its total energy is -15.423 eV/cell. The symmetry is P4/mmm (123).

abc: 4.626 4.626 5.091
angles: 90.00 90.00 90.00
Fractional positions:
Li (0.000, 0.500, 0.000)
Li (0.500, 0.000, 0.000)
Au (0.000, 0.000, 0.500)
Se (0.500, 0.500, 0.000)
S (0.500, 0.500, 0.500)

---

2.
# Tl3Cu2NiCl6

Tl3Cu2NiCl6 after structural relaxation (GGA-PBE, the Alexandria database).

## Properties
The calculation puts the density of states at the Fermi level at 0.315 states/eV per atom. The value obtained for the formation energy (no corrections) is -0.5792 eV per atom. Its total energy is -39.103 eV/cell. The symmetry is P-3m1 (164).

abc: 7.274 7.274 8.078
angles: 90.00 90.00 120.00
Fractional positions:
Tl (0.000, 0.000, 0.000)
Tl (0.333, 0.667, 0.666)
Tl (0.667, 0.333, 0.334)
Cu (0.333, 0.667, 0.316)
Cu (0.667, 0.333, 0.684)
Ni (0.000, 0.000, 0.500)
Cl (0.156, 0.313, 0.311)
Cl (0.156, 0.844, 0.311)
Cl (0.313, 0.156, 0.689)
Cl (0.687, 0.844, 0.311)
Cl (0.844, 0.156, 0.689)
Cl (0.844, 0.687, 0.689)

---

3.
# LaBeSe2

LaBeSe2 after structural relaxation (GGA-PBE, the Alexandria database).

## Properties
The calculation puts the density of states at the Fermi level at 0.580 states/eV per atom. The value obtained for the formation energy (no corrections) is -0.9916 eV per atom. Its total energy is -19.589 eV/cell. The symmetry is P2/m (10).

abc: 3.919 3.505 6.706
angles: 90.00 90.74 90.00
Fractional positions:
La (0.000, 0.000, 0.000)
Be (0.500, 0.000, 0.500)
Se (0.495, 0.500, 0.738)
Se (0.505, 0.500, 0.262)

---

4.
# Sc2InTc

Sc2InTc after structural relaxation (GGA-PBE, the Alexandria database).

## Properties
The calculation puts the density of states at the Fermi level at 1.048 states/eV per atom. As for the formation enthalpy at 0 K: -34 kJ/mol of formula units. Its total energy is -26.118 eV/cell. The symmetry is P4mm (99).

abc: 3.554 3.554 6.326
angles: 90.00 90.00 90.00
Fractional positions:
Sc (0.000, 0.000, 0.000)
Sc (0.500, 0.500, 0.283)
In (0.500, 0.500, 0.733)
Tc (0.000, 0.000, 0.475)

---

5.
# Tb5NdSc6

Tb5NdSc6 after structural relaxation (GGA-PBE, the Alexandria database).

## Properties
The calculation puts the density of states at the Fermi level at 1.264 states/eV per atom. As for the formation enthalpy at 0 K: 67 kJ/mol of formula units. Its total energy is -65.213 eV/cell. The symmetry is C2/m (12).

abc: 5.956 5.956 11.147
angles: 95.10 95.10 119.97
Fractional positions:
Tb (0.000, 0.000, 0.000)
Tb (0.167, 0.833, 0.500)
Tb (0.333, 0.667, 0.000)
Tb (0.667, 0.333, 0.000)
Tb (0.833, 0.167, 0.500)
Nd (0.500, 0.500, 0.500)
Sc (0.083, 0.417, 0.249)
Sc (0.250, 0.250, 0.751)
Sc (0.417, 0.083, 0.249)
Sc (0.583, 0.917, 0.751)
Sc (0.750, 0.750, 0.249)
Sc (0.917, 0.583, 0.751)

---

6.
# K2RbLiGe

K2RbLiGe after structural relaxation (GGA-PBE, the Alexandria database).

## Properties
The calculation puts the density of states at the Fermi level at 0.477 states/eV per atom. As for the formation enthalpy at 0 K: 28 kJ/mol of formula units. Its total energy is -9.399 eV/cell. The symmetry is P4/mmm (123).

abc: 6.661 6.661 5.289
angles: 90.00 90.00 90.00
Fractional positions:
K (0.000, 0.500, 0.000)
K (0.500, 0.000, 0.000)
Rb (0.000, 0.000, 0.500)
Li (0.500, 0.500, 0.500)
Ge (0.500, 0.500, 0.000)

---

Q: What is the formula in the third record?
A: LaBeSe2

---

Q: Which formula does entry 1 have?
A: Li2AuSeS